Entry 1:
Density functional theory data (PBE-GGA) for crystalline RbSiAu3 at its relaxed geometry.

Summary:
- energy above the lowest structure with this stoichiometry (meV per atom) = 142.4
- ΔE_f (raw) (kJ per mole of atoms) = -13

Unit cell a=5.3826 b=6.6077 c=7.1840 alpha=62.85 beta=88.31 gamma=89.96
Space group P-1 (No. 2)
Unique sites:
Rb 0.0000 0.1356 0.2282 [2 per cell]
Si 0.3281 0.3762 0.7428 [2 per cell]
Au 0.1254 0.6056 0.2905 [2 per cell]
Au 0.5000 0.0000 0.0000 [1 per cell]
Au 0.5002 0.2237 0.4951 [2 per cell]
Au 0.5000 0.5000 0.0000 [1 per cell]


Entry 2:
Density functional theory data (PBE-GGA) for crystalline RbBaSbPd2 at its relaxed geometry.

Summary:
- ΔE_f (raw) (kJ per mole of atoms) = 68

Unit cell a=5.4483 b=5.4483 c=6.4019 alpha=90.00 beta=90.00 gamma=90.00
Space group P4/mmm (No. 123)
Unique sites:
Rb 0.0000 0.0000 0.0000 [1 per cell]
Ba 0.0000 0.0000 0.5000 [1 per cell]
Sb 0.5000 0.5000 0.0000 [1 per cell]
Pd 0.0000 0.5000 0.5000 [2 per cell]


Entry 3:
Density functional theory data (PBE-GGA) for crystalline Pm2AuS2O2 at its relaxed geometry.

Summary:
- ΔE_f (raw) (kJ per mole of atoms) = -197

Unit cell a=3.9457 b=3.9457 c=11.2463 alpha=90.00 beta=90.00 gamma=120.00
Space group P-3m1 (No. 164)
Unique sites:
Pm 0.3333 0.6667 0.1333 [2 per cell]
Au 0.0000 0.0000 0.5000 [1 per cell]
S 0.0000 0.0000 0.2994 [2 per cell]
O 0.3333 0.6667 0.9215 [2 per cell]